DFT (PBE) results for crystalline Ca3TbPr3Te8 at its relaxed geometry.

Cell lengths 9.053, 9.053, 9.053 Å; angles 59.34, 59.34, 59.34 degrees
Atoms (fractional coordinates):
Ca1 0.000 0.500 0.500
Ca2 0.500 0.000 0.500
Ca3 0.500 0.500 0.000
Tb1 0.500 0.500 0.500
Pr1 0.000 0.000 0.500
Pr2 0.000 0.500 0.000
Pr3 0.500 0.000 0.000
Te1 0.252 0.252 0.252
Te2 0.253 0.253 0.745
Te3 0.253 0.745 0.253
Te4 0.255 0.747 0.747
Te5 0.745 0.253 0.253
Te6 0.747 0.255 0.747
Te7 0.747 0.747 0.255
Te8 0.748 0.748 0.748

Formation energy from raw total energies   -1522.2 meV/atom
VASP energy   -4.863 eV/atom
Total moment   0.00 μB/cell
Crystal system   trigonal
Calculated volume   516.8 Å³/cell